Entry 1:
A plane-wave DFT calculation with PBE was carried out for an optimized crystal structure of Pr2NdGaBr3.

Properties
magnetic moment	0.002	μB/cell
E_tot	-4.52	eV per atom

Cell lengths 6.037, 6.037, 6.035 Å; angles 90.00, 90.00, 90.00 degrees
Space group P4/mmm (No. 123)
Inequivalent atoms, fractional coordinates:
Pr (0.000, 0.500, 0.000) x2
Nd (0.000, 0.000, 0.500) x1
Ga (0.000, 0.000, 0.000) x1
Br (0.000, 0.500, 0.500) x2
Br (0.500, 0.500, 0.000) x1

=====

Entry 2:
A plane-wave DFT calculation with PBE was carried out for an optimized crystal structure of GaOsBr7.

Properties
magnetic moment	4.009	μB/cell
E_tot	-3.24	eV per atom

Cell lengths 7.147, 6.319, 15.427 Å; angles 90.00, 100.47, 90.00 degrees
Space group Pc (No. 7)
Inequivalent atoms, fractional coordinates:
Ga (0.000, 0.003, 0.000) x2
Os (0.765, 0.416, 0.867) x2
Br (0.057, 0.169, 0.866) x2
Br (0.217, 0.109, 0.122) x2
Br (0.498, 0.359, 0.383) x2
Br (0.575, 0.191, 0.760) x2
Br (0.692, 0.171, 0.994) x2
Br (0.867, 0.361, 0.257) x2
Br (0.992, 0.377, 0.496) x2

=====

Entry 3:
A plane-wave DFT calculation with PBE was carried out for an optimized crystal structure of Pm4GaBr5.

Properties
magnetic moment	0.015	μB/cell
E_tot	-4.47	eV per atom

Cell lengths 18.740, 4.181, 8.627 Å; angles 90.00, 102.89, 90.00 degrees
Space group C2/m (No. 12)
Inequivalent atoms, fractional coordinates:
Pm (0.000, 0.000, 0.230) x4
Pm (0.154, 0.500, 0.081) x4
Ga (0.000, 0.500, 0.000) x2
Br (0.000, 0.500, 0.500) x2
Br (0.167, 0.000, 0.331) x4
Br (0.171, 0.000, 0.839) x4

=====

Entry 4:
A plane-wave DFT calculation with PBE was carried out for an optimized crystal structure of Pr4GaBr5.

Properties
magnetic moment	0.017	μB/cell
E_tot	-4.49	eV per atom

Cell lengths 19.023, 4.252, 8.776 Å; angles 90.00, 103.16, 90.00 degrees
Space group C2/m (No. 12)
Inequivalent atoms, fractional coordinates:
Pr (0.000, 0.000, 0.232) x4
Pr (0.154, 0.500, 0.082) x4
Ga (0.000, 0.500, 0.000) x2
Br (0.000, 0.500, 0.500) x2
Br (0.167, 0.000, 0.331) x4
Br (0.170, 0.000, 0.839) x4

=====

Entry 5:
A plane-wave DFT calculation with PBE was carried out for an optimized crystal structure of TbPrGa2Br2.

Properties
magnetic moment	0.005	μB/cell
E_tot	-4.38	eV per atom

Cell lengths 4.1975, 4.1975, 11.4338 Å; angles 90.00, 90.00, 120.00 degrees
Space group P3m1 (No. 156)
Inequivalent atoms, fractional coordinates:
Tb (0.0000, 0.0000, 0.0000) x1
Pr (0.0000, 0.0000, 0.6343) x1
Ga (0.3333, 0.6667, 0.8500) x1
Ga (0.6667, 0.3333, 0.7940) x1
Br (0.3333, 0.6667, 0.4716) x1
Br (0.6667, 0.3333, 0.1517) x1

=====

Entry 6:
A plane-wave DFT calculation with PBE was carried out for an optimized crystal structure of GaPtBr7.

Properties
magnetic moment	0.000	μB/cell
E_tot	-2.74	eV per atom

Cell lengths 6.957, 6.425, 15.178 Å; angles 90.00, 104.48, 90.00 degrees
Space group Pc (No. 7)
Inequivalent atoms, fractional coordinates:
Ga (0.000, 0.007, 0.000) x2
Pt (0.243, 0.406, 0.634) x2
Br (0.161, 0.385, 0.253) x2
Br (0.315, 0.164, 0.508) x2
Br (0.466, 0.196, 0.751) x2
Br (0.524, 0.374, 0.128) x2
Br (0.769, 0.115, 0.373) x2
Br (0.951, 0.158, 0.636) x2
Br (0.993, 0.378, 0.999) x2

=====

Entry 7:
A plane-wave DFT calculation with PBE was carried out for an optimized crystal structure of ScZnGa2Br6.

Properties
magnetic moment	0.045	μB/cell
E_tot	-3.17	eV per atom

Cell lengths 10.791, 10.791, 10.791 Å; angles 90.00, 90.00, 90.00 degrees
Space group Fm-3m (No. 225)
Inequivalent atoms, fractional coordinates:
Sc (0.000, 0.000, 0.000) x4
Zn (0.000, 0.000, 0.500) x4
Ga (0.250, 0.250, 0.250) x8
Br (0.000, 0.000, 0.246) x24

=====

Entry 8:
A plane-wave DFT calculation with PBE was carried out for an optimized crystal structure of Tb2GaSiBr2.

Properties
magnetic moment	0.004	μB/cell
E_tot	-4.73	eV per atom

Cell lengths 4.0664, 4.0664, 11.3901 Å; angles 90.00, 90.00, 120.00 degrees
Space group P3m1 (No. 156)
Inequivalent atoms, fractional coordinates:
Tb (0.0000, 0.0000, 0.0000) x1
Tb (0.0000, 0.0000, 0.3547) x1
Ga (0.6667, 0.3333, 0.1979) x1
Si (0.3333, 0.6667, 0.1581) x1
Br (0.3333, 0.6667, 0.5132) x1
Br (0.6667, 0.3333, 0.8418) x1

=====

Which of these has the lowest magnetic moment? GaPtBr7

=====

What did the third record say?
A plane-wave DFT calculation with PBE was carried out for an optimized crystal structure of Pm4GaBr5.

Properties
magnetic moment	0.015	μB/cell
E_tot	-4.47	eV per atom

Cell lengths 18.740, 4.181, 8.627 Å; angles 90.00, 102.89, 90.00 degrees
Space group C2/m (No. 12)
Inequivalent atoms, fractional coordinates:
Pm (0.000, 0.000, 0.230) x4
Pm (0.154, 0.500, 0.081) x4
Ga (0.000, 0.500, 0.000) x2
Br (0.000, 0.500, 0.500) x2
Br (0.167, 0.000, 0.331) x4
Br (0.171, 0.000, 0.839) x4